Material: BaNaCrF6
Method: DFT, PBE+U
State: optimized geometry

abc: 5.4527 5.6795 5.6795
angles: 120.00 90.00 90.00
With the nearest neighbours (Å) after each atom.
Element x y z (fractional)
Ba: 0.0000 0.3333 0.6667  6 F 2.64
Cr: 0.5000 0.0000 0.0000  6 F 1.96
F: 0.2950 0.2879 0.2774  1 Cr 1.96
F: 0.7050 0.2879 0.0106  1 Cr 1.96
F: 0.2950 0.7226 0.0106  1 Cr 1.96
F: 0.7050 0.9894 0.2774  1 Cr 1.96
F: 0.7050 0.7226 0.7121  1 Cr 1.96
F: 0.2950 0.9894 0.7121  1 Cr 1.96
Na: 0.5000 0.6667 0.3333  6 F 2.30

Output
For the density of states at the Fermi level, the calculation gives 0.00 states/eV/cell. Its space-group type is No. 149. As for the magnetic moment: 0.333 μB per atom. The total energy is -50.6 eV/cell.